# 1
VASP calculation (PBE) on a relaxed structure of HfTcB.

Values from the calculation:
The calculation puts the calculated formation energy at -563 meV/atom. Its space-group type is P2_1/m, No. 11.

Lattice parameters (Å, degrees): 4.4199 3.1322 6.0793 90.00 99.23 90.00
Positions (direct):
Hf1 0.2185 0.2500 0.3529
Hf2 0.7815 0.7500 0.6471
Tc1 0.3341 0.2500 0.8410
Tc2 0.6659 0.7500 0.1590
B1 0.1209 0.7500 0.0258
B2 0.8791 0.2500 0.9742

---

# 2
VASP calculation (PBE) on a relaxed structure of Sc2Os2C3.

Values from the calculation:
The calculation puts the calculated formation energy at -263 meV/atom. Its space-group type is C2/m, No. 12.

Lattice parameters (Å, degrees): 5.8053 5.8053 5.5195 111.75 111.75 30.96
Positions (direct):
Sc1 0.1144 0.1144 0.3281
Sc2 0.8856 0.8856 0.6719
Os1 0.3482 0.3482 0.1756
Os2 0.6518 0.6518 0.8244
C1 0.2611 0.2611 0.7598
C2 0.5000 0.5000 0.5000
C3 0.7389 0.7389 0.2402

---

no.,density of states at the Fermi level (states/eV/cell)
1,2.82
2,2.22